This record from Alexandria describes crystalline KU2Ag2S6 at its relaxed geometry. The functional is PBE.

Structure (CIF):
```
data_KU2Ag2S6
_chemical_formula_sum 'K1 U2 Ag2 S6'
_cell_length_a 7.138
_cell_length_b 7.214
_cell_length_c 7.487
_cell_angle_alpha 66.52
_cell_angle_beta 64.81
_cell_angle_gamma 61.37
_space_group_name_H-M_alt 'P -1'
_space_group_IT_number 2
loop_
_space_group_symop_operation_xyz
'x,y,z'
'-x,-y,-z'
loop_
_atom_site_label
_atom_site_type_symbol
_atom_site_fract_x
_atom_site_fract_y
_atom_site_fract_z
_atom_site_occupancy
K1 K 0.000 0.000 0.000 1
U1 U 0.330 0.334 0.002 1
Ag1 Ag 0.450 0.710 0.562 1
S1 S 0.078 0.671 0.778 1
S2 S 0.306 0.570 0.217 1
S3 S 0.456 0.055 0.778 1
```

Uncorrected formation energy (eV per atom): -0.9898
Raw total energy (eV per atom): -5.912
N(E_F) (states/eV/cell): 9.5